## RbLaMoO5 (PBE with a Hubbard U)

Data for a geometry-optimized RbLaMoO5 structure.

```
data_RbLaMoO5
_cell_length_a 6.7258
_cell_length_b 6.7258
_cell_length_c 8.3876
_cell_angle_alpha 103.88
_cell_angle_beta 103.88
_cell_angle_gamma 106.19
_space_group_name_H-M_alt 'P 1'
_space_group_IT_number 1
_space_group_name_Hall 'P 1'
loop_
_atom_site_label
_atom_site_fract_x
_atom_site_fract_y
_atom_site_fract_z
O1 0.8686 0.3108 0.1278
O2 0.2447 0.4099 0.6030
O3 0.6892 0.1314 0.3722
La1 0.0000 0.0000 0.0000
O4 0.7553 0.5901 0.3970
Rb1 0.6767 0.3233 0.7500
O5 0.5901 0.7553 0.8970
Mo1 0.6817 0.3183 0.2500
O6 0.1314 0.6892 0.8722
O7 0.9310 0.0690 0.7500
O8 0.3108 0.8686 0.6278
O9 0.4099 0.2447 0.1030
Rb2 0.3233 0.6767 0.2500
Mo2 0.3183 0.6817 0.7500
O10 0.0690 0.9310 0.2500
La2 0.0000 0.0000 0.5000
```

Output
Density   3980 kg/m3
VASP energy   -7.0212 eV/atom
Space-group type   C2/c